Entry P
KPdRh2: optimized geometry, GGA-PBE.

a = 6.5843 Å, b = 6.5843 Å, c = 6.5843 Å
α = 90.00°, β = 90.00°, γ = 90.00°
With the nearest neighbours (Å) after each atom.
Atoms (fractional coordinates):
1 K 0.0000 0.0000 0.0000  8 Rh 2.85
2 K 0.0000 0.5000 0.5000  8 Rh 2.85
3 K 0.5000 0.0000 0.5000  8 Rh 2.85
4 K 0.5000 0.5000 0.0000  8 Rh 2.85
5 Pd 0.0000 0.0000 0.5000  8 Rh 2.85
6 Pd 0.0000 0.5000 0.0000  8 Rh 2.85
7 Pd 0.5000 0.0000 0.0000  8 Rh 2.85
8 Pd 0.5000 0.5000 0.5000  8 Rh 2.85
9 Rh 0.2500 0.2500 0.2500  4 Pd 2.85, 4 K 2.85
10 Rh 0.2500 0.2500 0.7500  4 K 2.85, 4 Pd 2.85
11 Rh 0.2500 0.7500 0.2500  4 K 2.85, 4 Pd 2.85
12 Rh 0.2500 0.7500 0.7500  4 K 2.85, 4 Pd 2.85
13 Rh 0.7500 0.2500 0.2500  4 K 2.85, 4 Pd 2.85
14 Rh 0.7500 0.2500 0.7500  4 K 2.85, 4 Pd 2.85
15 Rh 0.7500 0.7500 0.2500  4 K 2.85, 4 Pd 2.85
16 Rh 0.7500 0.7500 0.7500  4 K 2.85, 4 Pd 2.85

Calculated values
**SG**: Fm-3m

=====

Entry Q
KPdRh2: optimized geometry, GGA-PBE.

a = 4.5110 Å, b = 4.5110 Å, c = 18.6966 Å
α = 90.00°, β = 90.00°, γ = 90.00°
With the nearest neighbours (Å) after each atom.
Atoms (fractional coordinates):
1 K 0.0000 0.0000 0.0000  4 Rh 3.16, 4 Pd 3.19
2 K 0.0000 0.5000 0.2500  4 Rh 3.16, 4 Pd 3.19
3 K 0.5000 0.0000 0.7500  4 Rh 3.16, 4 Pd 3.19
4 K 0.5000 0.5000 0.5000  4 Rh 3.16, 4 Pd 3.19
5 Pd 0.0000 0.0000 0.5000  4 Rh 2.63
6 Pd 0.0000 0.5000 0.7500  4 Rh 2.63
7 Pd 0.5000 0.0000 0.2500  4 Rh 2.63
8 Pd 0.5000 0.5000 0.0000  4 Rh 2.63
9 Rh 0.1009 0.2500 0.6250  2 Rh 2.43, 2 Pd 2.63
10 Rh 0.2500 0.6009 0.8750  2 Rh 2.43, 2 Pd 2.63
11 Rh 0.2500 0.8991 0.3750  2 Rh 2.43, 2 Pd 2.63
12 Rh 0.3991 0.2500 0.1250  2 Rh 2.43, 2 Pd 2.63
13 Rh 0.6009 0.7500 0.1250  2 Rh 2.43, 2 Pd 2.63
14 Rh 0.7500 0.1009 0.3750  2 Rh 2.43, 2 Pd 2.63
15 Rh 0.7500 0.3991 0.8750  2 Rh 2.43, 2 Pd 2.63
16 Rh 0.8991 0.7500 0.6250  2 Rh 2.43, 2 Pd 2.63

Calculated values
**SG**: I-42d

=====

Here is how they stack up, most stable first: entry Q, entry P.

=====

Entry P
KPdRh3: optimized geometry, GGA-PBE.

a = 4.8946 Å, b = 4.8946 Å, c = 4.8946 Å
α = 90.00°, β = 90.00°, γ = 90.00°
With the nearest neighbours (Å) after each atom.
Atoms (fractional coordinates):
1 K 0.0000 0.0000 0.0000  12 Rh 3.46
2 Pd 0.5000 0.5000 0.5000  6 Rh 2.45
3 Rh 0.0000 0.5000 0.5000  2 Pd 2.45
4 Rh 0.5000 0.0000 0.5000  2 Pd 2.45
5 Rh 0.5000 0.5000 0.0000  2 Pd 2.45

Calculated values
**SG**: Pm-3m

=====

Entry Q
KPdRh3: optimized geometry, GGA-PBE.

a = 4.6601 Å, b = 4.6601 Å, c = 4.6601 Å
α = 90.00°, β = 90.00°, γ = 90.00°
With the nearest neighbours (Å) after each atom.
Atoms (fractional coordinates):
1 K 0.0000 0.0000 0.0000  6 Rh 2.33
2 Pd 0.5000 0.5000 0.5000  12 Rh 3.30
3 Rh 0.0000 0.0000 0.5000  2 K 2.33
4 Rh 0.0000 0.5000 0.0000  2 K 2.33
5 Rh 0.5000 0.0000 0.0000  2 K 2.33

Calculated values
**SG**: Pm-3m

=====

Here is how they stack up, most stable first: entry P, entry Q.

=====

Entry P
KPdRu3: optimized geometry, GGA-PBE.

a = 4.9136 Å, b = 4.9136 Å, c = 4.9136 Å
α = 90.00°, β = 90.00°, γ = 90.00°
With the nearest neighbours (Å) after each atom.
Atoms (fractional coordinates):
1 K 0.0000 0.0000 0.0000  12 Ru 3.47
2 Pd 0.5000 0.5000 0.5000  6 Ru 2.46
3 Ru 0.0000 0.5000 0.5000  2 Pd 2.46
4 Ru 0.5000 0.0000 0.5000  2 Pd 2.46
5 Ru 0.5000 0.5000 0.0000  2 Pd 2.46

Calculated values
**SG**: Pm-3m

=====

Entry Q
KPdRu3: optimized geometry, GGA-PBE.

a = 4.5778 Å, b = 4.5778 Å, c = 4.5778 Å
α = 90.00°, β = 90.00°, γ = 90.00°
With the nearest neighbours (Å) after each atom.
Atoms (fractional coordinates):
1 K 0.0000 0.0000 0.0000  6 Ru 2.29
2 Pd 0.5000 0.5000 0.5000  12 Ru 3.24
3 Ru 0.0000 0.0000 0.5000  2 K 2.29
4 Ru 0.0000 0.5000 0.0000  2 K 2.29
5 Ru 0.5000 0.0000 0.0000  2 K 2.29

Calculated values
**SG**: Pm-3m

=====

Here is how they stack up, most stable first: entry P, entry Q.